Record 1
An optimized crystal structure of SrGeRh3. Source: Alexandria, functional PBE.

Unit cell a=4.9368 b=4.9368 c=4.9368 alpha=90.00 beta=90.00 gamma=90.00
Last column: nearest neighbours and their distance in Å.
Element x y z (fractional)
1 Sr 0.0000 0.0000 0.0000  6 Rh 2.47
2 Ge 0.5000 0.5000 0.5000  12 Rh 3.49
3 Rh 0.0000 0.5000 0.0000  2 Sr 2.47
4 Rh 0.0000 0.0000 0.5000  2 Sr 2.47
5 Rh 0.5000 0.0000 0.0000  2 Sr 2.47

Calculated values
Energy of formation: 1717 meV per atom
Relative energy among the computed polymorphs: 1851 meV per atom

Record 2
An optimized crystal structure of Sr2GeTeRh. Source: Alexandria, functional PBE.

Unit cell a=5.8046 b=5.8046 c=4.6629 alpha=90.00 beta=90.00 gamma=90.00
Last column: nearest neighbours and their distance in Å.
Element x y z (fractional)
1 Sr 0.0000 0.5000 0.0000  2 Rh 2.90
2 Sr 0.5000 0.0000 0.0000  2 Rh 2.90
3 Ge 0.0000 0.0000 0.5000  2 Rh 2.33
4 Te 0.5000 0.5000 0.5000  8 Sr 3.72, 4 Ge 4.10
5 Rh 0.0000 0.0000 0.0000  2 Ge 2.33

Calculated values
Uncorrected energy: -22.34 eV per cell

Record 3
An optimized crystal structure of Sr2ThGe3Rh4. Source: Alexandria, functional PBE.

Unit cell a=4.3759 b=4.3759 c=11.0260 alpha=90.00 beta=90.00 gamma=90.00
Last column: nearest neighbours and their distance in Å.
Element x y z (fractional)
1 Sr 0.5000 0.0000 0.2255  8 Rh 3.31-3.37, 4 Ge 3.32
2 Sr 0.0000 0.5000 0.7745  8 Rh 3.31-3.37, 4 Ge 3.32
3 Th 0.5000 0.5000 0.5000  4 Rh 2.76
4 Ge 0.0000 0.0000 0.5000  4 Rh 2.76
5 Ge 0.5000 0.0000 0.8839  5 Rh 2.53-2.55
6 Ge 0.0000 0.5000 0.1161  5 Rh 2.53-2.55
7 Rh 0.5000 0.5000 0.0000  4 Ge 2.53
8 Rh 0.0000 0.0000 0.0000  4 Ge 2.53
9 Rh 0.5000 0.0000 0.6524  3 Ge 2.55-2.76, 2 Th 2.76
10 Rh 0.0000 0.5000 0.3476  3 Ge 2.55-2.76, 2 Th 2.76

Calculated values
Energy of formation: -740 meV per atom

What is the formula in the first record?
SrGeRh3